Sr3Zn2Sn7 | Alexandria via LeMat-Bulk | GGA-PBE | relaxed; DFT formation energy = -0.371 eV per atom; crystal system = monoclinic; symmetry = No. 10; N(E_F) = 0.401 states/eV/atom
1.0
4.8000 0.0000 0.0000
0.0000 4.8219 0.0000
-2.3152 0.0000 14.7588
Sr Zn Sn
3 2 7
Direct
0.0000 0.0000 0.0000 Sr
0.3171 0.5000 0.6333 Sr
0.6829 0.5000 0.3667 Sr
0.1337 0.0000 0.2685 Zn
0.8663 0.0000 0.7315 Zn
0.0821 0.5000 0.1705 Sn
0.2242 0.0000 0.4471 Sn
0.4141 0.0000 0.8288 Sn
0.5000 0.5000 0.0000 Sn
0.5859 0.0000 0.1712 Sn
0.7758 0.0000 0.5529 Sn
0.9179 0.5000 0.8295 Sn